(1)
# Ca2TbCd12Ag3 (PBE, optimized geometry)
data_Ca2TbCd12Ag3
_chemical_formula_sum 'Ca6 Tb3 Cd36 Ag9'
_cell_length_a 8.9515
_cell_length_b 8.9515
_cell_length_c 21.2901
_cell_angle_alpha 90.00
_cell_angle_beta 90.00
_cell_angle_gamma 120.00
_symmetry_space_group_name_H-M 'R -3 m'
_symmetry_Int_Tables_number 166
_symmetry_space_group_name_Hall '-R 3 2"'
loop_
_atom_site_label
_atom_site_fract_x
_atom_site_fract_y
_atom_site_fract_z
_atom_site_occupancy
Ca1 0.0000 0.0000 0.0821 1
Tb1 0.0000 0.0000 0.5000 1
Cd1 0.0520 0.5260 0.2733 1
Cd2 0.0913 0.5456 0.8686 1
Ag1 0.0000 0.5000 0.0000 1
# Formation energy: 1.2 eV per formula unit

=====

(2)
# Tb12Sm5Dy2 (PBE, optimized geometry)
data_Tb12Sm5Dy2
_chemical_formula_sum 'Tb24 Sm10 Dy4'
_cell_length_a 18.1086
_cell_length_b 8.2968
_cell_length_c 8.9857
_cell_angle_alpha 90.00
_cell_angle_beta 110.26
_cell_angle_gamma 90.00
_symmetry_space_group_name_H-M 'C 1 2/m 1'
_symmetry_Int_Tables_number 12
loop_
_symmetry_equiv_pos_as_xyz
'x,y,z'
'-x,-y,-z'
'-x,y,-z'
'x,-y,z'
'x+1/2,y+1/2,z'
'-x+1/2,-y+1/2,-z'
'-x+1/2,y+1/2,-z'
'x+1/2,-y+1/2,z'
loop_
_atom_site_label
_atom_site_fract_x
_atom_site_fract_y
_atom_site_fract_z
_atom_site_occupancy
Tb1 0.0171 0.0000 0.1796 1
Tb2 0.0503 0.5000 0.6723 1
Tb3 0.1399 0.2991 0.3627 1
Tb4 0.1516 0.2644 0.9660 1
Sm1 0.0000 0.5000 0.0000 1
Sm2 0.1978 0.0000 0.6898 1
Sm3 0.2447 0.5000 0.7248 1
Dy1 0.0000 0.1738 0.5000 1
# Relative energy among the computed polymorphs: 2.91 eV per formula unit
# Formation energy: 4.1 eV per formula unit

=====

(3)
# LiSc2PaS4 (PBE, optimized geometry)
data_LiSc2PaS4
_chemical_formula_sum 'Li1 Sc2 Pa1 S4'
_cell_length_a 6.5021
_cell_length_b 3.7164
_cell_length_c 6.5403
_cell_angle_alpha 90.00
_cell_angle_beta 108.79
_cell_angle_gamma 90.00
_symmetry_space_group_name_H-M 'P 1 2/m 1'
_symmetry_Int_Tables_number 10
loop_
_symmetry_equiv_pos_as_xyz
'x,y,z'
'-x,-y,-z'
'-x,y,-z'
'x,-y,z'
loop_
_atom_site_label
_atom_site_fract_x
_atom_site_fract_y
_atom_site_fract_z
_atom_site_occupancy
Li1 0.0000 0.0000 0.0000 1
Sc1 0.5000 0.0000 0.5000 1
Sc2 0.5000 0.5000 0.0000 1
Pa1 0.0000 0.5000 0.5000 1
S1 0.2568 0.5000 0.2467 1
S2 0.2613 0.0000 0.7646 1
# ΔE_f (raw): -1723.0 meV per atom

=====

(4)
# CsYMo (PBE, optimized geometry)
data_CsYMo
_chemical_formula_sum 'Cs2 Y2 Mo2'
_cell_length_a 3.5672
_cell_length_b 4.1996
_cell_length_c 15.7919
_cell_angle_alpha 90.37
_cell_angle_beta 90.68
_cell_angle_gamma 90.00
_symmetry_space_group_name_H-M 'P 1'
_symmetry_Int_Tables_number 1
loop_
_symmetry_equiv_pos_as_xyz
'x,y,z'
loop_
_atom_site_label
_atom_site_fract_x
_atom_site_fract_y
_atom_site_fract_z
_atom_site_occupancy
Cs1 0.0000 0.0000 0.0000 1
Cs2 0.0375 0.5191 0.7025 1
Y1 0.0110 0.0131 0.4782 1
Y2 0.9976 0.5068 0.2244 1
Mo1 0.5021 0.0089 0.3094 1
Mo2 0.5070 0.5109 0.3932 1
# Relative energy among the computed polymorphs: 0.25 eV per formula unit
# Formation energy: 1.5 eV per formula unit

=====

no.,total magnetic moment (μB per formula unit)
1,0.0
2,0.0
3,0.0
4,0.0